A relaxed NaBi2As2 crystal. Source: the Alexandria database, functional PBE-GGA.

a = 6.487 Å, b = 6.487 Å, c = 6.487 Å
α = 129.49°, β = 129.49°, γ = 74.22°
Positions (direct):
Na (0.000, 0.000, 0.000)
Bi (0.344, 0.344, 0.000)
Bi (0.656, 0.656, 0.000)
As (0.250, 0.750, 0.500)
As (0.750, 0.250, 0.500)

Calculated values
Distance to the lowest polymorph of the same formula ... 0.48 eV/f.u.
ΔH_f (0 K) ... -0.023 eV per atom
Symmetry ... No. 139